Entry 1:
A geometry-optimized InTc4Rh structure. Source: Alexandria, functional PBE.

```
InTc4Rh
1.0
3.730 0.009 3.563
0.396 3.936 3.310
-1.183 -0.683 4.974
In Tc Rh
1 4 1
Cartesian
0.736 0.815 2.962
1.642 0.060 5.748
1.841 2.041 7.414
-0.036 2.037 5.620
2.437 2.385 4.910
0.000 0.000 0.000
```

Results
Size of the total moment   0.000 μB/atom
Space group   F-43m (216)
VASP energy   -8.2340 eV per atom
DOS(E_F)   8.97 states/eV per cell
Crystal system   cubic
Calculated density   10434 kg/m3
ΔH_f (0 K)   0.358 eV/atom

Entry 2:
A geometry-optimized Zn3HgOs structure. Source: Alexandria, functional PBE.

```
Zn3HgOs
1.0
4.852 0.000 0.000
0.000 4.852 0.000
0.000 0.000 4.852
Hg Zn Os
1 3 1
Cartesian
2.426 2.426 2.426
0.000 2.426 0.000
0.000 0.000 2.426
2.426 0.000 0.000
0.000 0.000 0.000
```

Results
Size of the total moment   0.000 μB/atom
Space group   Pm-3m (221)
VASP energy   -2.4184 eV per atom
DOS(E_F)   4.98 states/eV per cell
Excess energy over the best structure of this formula in the dataset   0 meV per atom
Crystal system   cubic
Calculated density   8534 kg/m3
ΔH_f (0 K)   0.652 eV/atom